# Na2VIr2Se6

A geometry-optimized Na2VIr2Se6 structure (PBE-GGA, Alexandria).

```
Na2VIr2Se6
1.0
3.2297 -5.6315 0.0000
3.2297 5.6315 0.0000
-2.2074 0.0000 6.9248
Na V Ir Se
2 1 2 6
Cartesian
3.2297 3.7603 0.0000
3.2297 -3.7603 0.0000
-1.1037 0.0000 3.4624
2.1260 1.8751 3.4624
2.1260 -1.8751 3.4624
-0.0180 1.9129 4.7941
1.0792 0.0000 2.1207
-0.0180 -1.9129 4.7941
4.2699 1.9129 2.1307
3.1727 0.0000 4.8041
4.2699 -1.9129 2.1307
```

Computed properties:
DOS at the Fermi energy (states/eV/f.u.): 9.1
Total energy (eV per atom): -5.150
ΔE_f (raw) (eV/atom): -0.57
Magnetization (μB per cell): 1.0

---

# CaSi2AgPd5

A geometry-optimized CaSi2AgPd5 structure (PBE-GGA, Alexandria).

```
CaSi2AgPd5
1.0
4.1403 0.0000 0.0000
0.0000 4.1403 0.0000
0.0000 0.0000 8.9013
Ca Si Ag Pd
1 2 1 5
Cartesian
0.0000 0.0000 0.0000
2.0702 2.0702 3.2864
2.0702 2.0702 5.6150
0.0000 0.0000 4.4507
0.0000 2.0702 2.1451
0.0000 2.0702 6.7562
2.0702 0.0000 2.1451
2.0702 0.0000 6.7562
2.0702 2.0702 0.0000
```

Computed properties:
DOS at the Fermi energy (states/eV/f.u.): 1.4
Total energy (eV per atom): -5.138
ΔE_f (raw) (eV/atom): -0.51
Magnetization (μB per cell): 0.0

---

# Th6In2Ru

A geometry-optimized Th6In2Ru structure (PBE-GGA, Alexandria).

```
Th6In2Ru
1.0
8.9198 0.0000 0.0000
-4.4599 7.7248 0.0000
0.0000 0.0000 3.7824
Th In Ru
6 2 1
Cartesian
-1.7692 3.0643 0.0000
-3.3639 5.8265 1.8912
1.0960 1.8983 1.8912
3.5384 0.0000 0.0000
2.6907 4.6605 0.0000
6.7279 0.0000 1.8912
0.0000 5.1499 1.8912
4.4599 2.5749 1.8912
0.0000 0.0000 0.0000
```

Computed properties:
DOS at the Fermi energy (states/eV/f.u.): 10.3
Total energy (eV per atom): -6.873
E above lowest polymorph (meV per atom): 0
Formation energy from the elements (eV per atom): -0.287
Magnetization (μB per cell): 0.0

---

# MnNi12B4

A geometry-optimized MnNi12B4 structure (PBE-GGA, Alexandria).

```
MnNi12B4
1.0
-3.5570 3.5570 3.5570
3.5570 -3.5570 3.5570
3.5570 3.5570 -3.5570
Mn Ni B
1 12 4
Cartesian
0.0000 0.0000 0.0000
3.5570 -1.2485 2.3312
2.3085 1.2258 0.0000
4.8055 1.2258 0.0000
2.3312 3.5570 -1.2485
1.2258 0.0000 2.3085
0.0000 2.3085 1.2258
3.5570 1.2485 2.3312
2.3312 3.5570 1.2485
1.2258 0.0000 4.8055
-1.2485 2.3312 3.5570
1.2485 2.3312 3.5570
0.0000 4.8055 1.2258
1.7785 1.7785 -1.7785
1.7785 -1.7785 1.7785
-1.7785 1.7785 1.7785
1.7785 1.7785 1.7785
```

Computed properties:
DOS at the Fermi energy (states/eV/f.u.): 9.6
Total energy (eV per atom): -6.231
Formation energy from the elements (eV per atom): -0.039
Magnetization (μB per cell): 4.2

---

# La2Dy3ScTe6

A geometry-optimized La2Dy3ScTe6 structure (PBE-GGA, Alexandria).

```
La2Dy3ScTe6
1.0
9.5950 -2.1902 0.0000
9.5950 2.1902 0.0000
-2.0370 0.0000 8.6234
La Dy Sc Te
2 3 1 6
Cartesian
2.5187 0.0000 2.8759
14.6342 0.0000 5.7475
1.6495 0.0000 7.2214
8.5765 0.0000 4.3117
15.5034 0.0000 1.4020
9.5950 0.0000 0.0000
-1.4205 0.0000 6.5720
5.6508 0.0000 3.5082
4.6418 0.0000 8.0370
12.5112 0.0000 0.5864
11.5022 0.0000 5.1152
18.5735 0.0000 2.0513
```

Computed properties:
DOS at the Fermi energy (states/eV/f.u.): 7.5
Total energy (eV per atom): -5.412
ΔE_f (raw) (eV/atom): -1.34
Magnetization (μB per cell): 0.0

---

# CsTaCl4

A geometry-optimized CsTaCl4 structure (PBE-GGA, Alexandria).

```
CsTaCl4
1.0
7.6042 -3.7280 0.0000
7.6042 3.7280 0.0000
-1.1061 0.0000 6.3814
Cs Ta Cl
2 2 8
Cartesian
2.6470 0.0000 1.4284
11.4554 0.0000 4.9530
6.4218 0.0000 4.4398
7.6805 0.0000 1.9416
5.6958 1.5075 2.5537
7.6042 1.6535 0.0000
3.9805 0.0000 4.9902
8.4065 1.5075 3.8277
5.6958 -1.5075 2.5537
10.1218 0.0000 1.3912
7.6042 -1.6535 0.0000
8.4065 -1.5075 3.8277
```

Computed properties:
DOS at the Fermi energy (states/eV/f.u.): 1.3
Total energy (eV per atom): -4.740
ΔE_f (raw) (eV/atom): -1.39
Magnetization (μB per cell): 0.0

---

# BaSrAg2

A geometry-optimized BaSrAg2 structure (PBE-GGA, Alexandria).

```
BaSrAg2
1.0
5.7108 0.0000 0.0000
0.0000 5.7108 0.0000
0.0000 0.0000 4.0318
Ba Sr Ag
1 1 2
Cartesian
0.0000 0.0000 0.0000
2.8554 2.8554 0.0000
0.0000 2.8554 2.0159
2.8554 0.0000 2.0159
```

Computed properties:
DOS at the Fermi energy (states/eV/f.u.): 3.9
Total energy (eV per atom): -2.565
E above lowest polymorph (meV per atom): 45
Formation energy from the elements (eV per atom): -0.239
Magnetization (μB per cell): 0.0

---

# Y4GaPSe2

A geometry-optimized Y4GaPSe2 structure (PBE-GGA, Alexandria).

```
Y4GaPSe2
1.0
7.1327 0.0000 0.0000
0.0000 4.0199 0.0000
-2.3009 0.0000 6.8022
Y Ga P Se
4 1 1 2
Cartesian
1.1887 0.0000 1.5782
0.0266 2.0099 5.1559
4.8051 2.0099 1.6463
3.6431 0.0000 5.2239
3.5663 0.0000 0.0000
0.0000 2.0099 0.0000
-1.1505 0.0000 3.4011
2.4159 2.0099 3.4011
```

Computed properties:
DOS at the Fermi energy (states/eV/f.u.): 2.5
Total energy (eV per atom): -6.638
ΔE_f (raw) (eV/atom): -1.48
Magnetization (μB per cell): 0.0

---

Question: DOS at the Fermi energy of number 8 (Y4GaPSe2)?
Answer: 2.5 states/eV/f.u.

---

Question: Number 8 is which compound?
Answer: Y4GaPSe2

---

Question: Among the records above, which one has the lowest DOS at the Fermi energy?
Answer: CsTaCl4

---

Question: The lowest DOS at the Fermi energy belongs to which entry?
Answer: CsTaCl4